1.
Below is an optimized crystal structure of Tb4Nd15Al, with properties calculated at the GGA-PBE level.

Geometry as extended XYZ:
```
20
Lattice="5.097 0.000 0.000 0.000 5.097 0.000 0.000 0.000 25.741" Properties=species:S:1:pos:R:3 pbc="T T T"
Tb 0.000 0.000 2.603
Tb 0.000 0.000 7.829
Tb 0.000 0.000 17.911
Tb 0.000 0.000 23.138
Nd 0.000 2.548 0.000
Nd 0.000 2.548 5.225
Nd 0.000 2.548 10.465
Nd 0.000 2.548 15.276
Nd 0.000 2.548 20.516
Nd 2.548 0.000 0.000
Nd 2.548 0.000 5.225
Nd 2.548 0.000 10.465
Nd 2.548 0.000 15.276
Nd 2.548 0.000 20.516
Nd 2.548 2.548 2.619
Nd 2.548 2.548 7.848
Nd 2.548 2.548 12.870
Nd 2.548 2.548 17.893
Nd 2.548 2.548 23.122
Al 0.000 0.000 12.870
```

Results
- Symmetry: P4/mmm, No. 123

2.
Below is an optimized crystal structure of ZnBPO2, with properties calculated at the GGA-PBE level.

Geometry as extended XYZ:
```
5
Lattice="3.607 0.000 0.000 0.000 3.607 0.000 0.000 0.000 5.253" Properties=species:S:1:pos:R:3 pbc="T T T"
Zn 0.000 0.000 0.000
B 1.804 1.804 2.627
P 0.000 0.000 2.627
O 0.000 1.804 0.000
O 1.804 0.000 0.000
```

Results
- Uncorrected formation energy: 0.922 eV per atom
- Symmetry: P4/mmm, No. 123
- Relative energy among the computed polymorphs: 4.99 eV per formula unit

3.
Below is an optimized crystal structure of Rb2ReTcI6, with properties calculated at the GGA-PBE level.

Geometry as extended XYZ:
```
10
Lattice="-4.050 4.050 5.708 4.050 -4.050 5.708 4.050 4.050 -5.708" Properties=species:S:1:pos:R:3 pbc="T T T"
Rb 4.050 0.000 2.854
Rb 0.000 4.050 2.854
Re 0.000 0.000 0.000
Tc 0.000 0.000 5.708
I 1.977 1.977 0.000
I 2.072 -2.072 5.708
I 0.000 0.000 2.792
I 0.000 0.000 8.624
I -2.072 2.072 5.708
I 2.072 2.072 5.708
```

Results
- Uncorrected formation energy: -0.175 eV per atom
- Symmetry: I4/mmm, No. 139

4.
Below is an optimized crystal structure of Mg6ScCd3, with properties calculated at the GGA-PBE level.

Geometry as extended XYZ:
```
10
Lattice="9.441 5.451 1.013 -9.441 5.451 1.013 0.000 -10.902 1.013" Properties=species:S:1:pos:R:3 pbc="T T T"
Mg 0.000 -8.009 1.013
Mg -6.936 4.005 1.013
Mg 0.000 -2.897 1.040
Mg -2.509 1.448 1.040
Mg 2.509 1.448 1.040
Mg 6.936 4.005 1.013
Sc 0.000 0.000 2.035
Cd -4.719 -2.724 1.533
Cd 4.719 -2.724 1.533
Cd 0.000 5.449 1.533
```

Results
- Symmetry: R3m, No. 160

Number 1: calculated total energy -94.03 eV per cell. Number 2: calculated total energy -18.67 eV per cell. Number 3: calculated total energy -35.80 eV per cell. Number 4: calculated total energy -17.07 eV per cell.